# 1
## Pm6Zn2Ag (PBE-GGA)

Data for a geometry-optimized Pm6Zn2Ag structure.

Calculated values
For the energy of formation from the pure elements, the calculation gives -0.149 eV per atom. The calculation puts the density at 7.2 g cm⁻³.

Lattice parameters (Å, degrees): 9.8142 10.1847 10.2977 90.00 90.00 90.00
Space group Immm (No. 71)
One atom of each set of equivalent atoms:
1 Pm 0.0000 0.1780 0.2155
2 Pm 0.1777 0.5000 0.2356
3 Pm 0.1971 0.2464 0.5000
4 Zn 0.0000 0.3757 0.0000
5 Zn 0.1368 0.0000 0.0000
6 Ag 0.0000 0.0000 0.5000
7 Ag 0.0000 0.5000 0.5000

***

# 2
## PrUTl2S6 (PBE-GGA)

Data for a geometry-optimized PrUTl2S6 structure.

Calculated values
As for the uncorrected formation energy: -974 meV per atom. The calculation puts the density at 5.9 g cm⁻³.

Lattice parameters (Å, degrees): 7.2128 7.3582 12.6918 90.00 124.64 90.00
Space group P2_1/c (No. 14)
One atom of each set of equivalent atoms:
1 Pr 0.0000 0.0000 0.0000
2 U 0.5000 0.0000 0.5000
3 Tl 0.2548 0.0506 0.7481
4 S 0.1664 0.0322 0.2636
5 S 0.2492 0.6773 0.0453
6 S 0.3784 0.2065 0.0515

***

# 3
## NbAuSe4 (PBE-GGA)

Data for a geometry-optimized NbAuSe4 structure.

Calculated values
As for the uncorrected formation energy: -279 meV per atom. The calculation puts the density at 7.4 g cm⁻³.

Lattice parameters (Å, degrees): 6.3516 6.4572 6.6104 90.00 91.35 90.00
Space group P2_1/c (No. 14)
One atom of each set of equivalent atoms:
1 Nb 0.0000 0.0000 0.0000
2 Au 0.5000 0.0000 0.5000
3 Se 0.0917 0.1427 0.3525
4 Se 0.3818 0.6134 0.4014

***

# 4
## Sm2Tl2SbO6 (PBE-GGA)

Data for a geometry-optimized Sm2Tl2SbO6 structure.

Calculated values
As for the uncorrected formation energy: -1953 meV per atom. The calculation puts the density at 7.3 g cm⁻³.

Lattice parameters (Å, degrees): 6.0852 10.5027 6.8584 90.00 105.41 90.00
Space group C2/m (No. 12)
One atom of each set of equivalent atoms:
1 Sm 0.0000 0.1655 0.0000
2 Tl 0.0000 0.3377 0.5000
3 Sb 0.0000 0.5000 0.0000
4 O 0.2013 0.3456 0.1636
5 O 0.2460 0.0000 0.1677

***

# 5
## SnPdI2N (PBE-GGA)

Data for a geometry-optimized SnPdI2N structure.

Calculated values
As for the uncorrected formation energy: 514 meV per atom. The calculation puts the density at 6.2 g cm⁻³. The energy above the lowest structure with this stoichiometry comes out at 0.000 eV/atom.

Lattice parameters (Å, degrees): 5.9288 5.9288 3.7751 90.00 90.00 90.00
Space group P4/mmm (No. 123)
One atom of each set of equivalent atoms:
1 Sn 0.0000 0.0000 0.0000
2 Pd 0.5000 0.5000 0.5000
3 I 0.0000 0.5000 0.5000
4 N 0.5000 0.5000 0.0000

***

# 6
## Ba2NaZn12Pt3 (PBE-GGA)

Data for a geometry-optimized Ba2NaZn12Pt3 structure.

Calculated values
For the energy of formation from the pure elements, the calculation gives -0.051 eV per atom. The calculation puts the density at 5.5 g cm⁻³.

Lattice parameters (Å, degrees): 8.7119 8.7119 23.0940 90.00 90.00 120.00
Space group R-3m (No. 166, hexagonal axes)
One atom of each set of equivalent atoms:
1 Ba 0.0000 0.0000 0.1027
2 Na 0.0000 0.0000 0.5000
3 Zn 0.0124 0.5062 0.3316
4 Zn 0.1034 0.2069 0.2333
5 Pt 0.0000 0.5000 0.0000

***

# 7
## GdDyPuIn (PBE-GGA)

Data for a geometry-optimized GdDyPuIn structure.

Calculated values
For the energy of formation from the pure elements, the calculation gives -0.010 eV per atom. The calculation puts the density at 10.0 g cm⁻³.

Lattice parameters (Å, degrees): 7.6576 7.6576 7.6576 90.00 90.00 90.00
Space group F-43m (No. 216)
One atom of each set of equivalent atoms:
1 Gd 0.0000 0.0000 0.0000
2 Dy 0.2500 0.2500 0.2500
3 Pu 0.2500 0.2500 0.7500
4 In 0.0000 0.0000 0.5000

***

# 8
## MgFeCl2 (PBE-GGA)

Data for a geometry-optimized MgFeCl2 structure.

Calculated values
As for the uncorrected formation energy: -226 meV per atom. The calculation puts the density at 3.3 g cm⁻³. The energy above the lowest structure with this stoichiometry comes out at 0.293 eV/atom.

Lattice parameters (Å, degrees): 3.1510 4.0488 6.0052 90.00 90.00 90.00
Space group Pmmm (No. 47)
One atom of each set of equivalent atoms:
1 Mg 0.0000 0.0000 0.0000
2 Fe 0.5000 0.0000 0.5000
3 Cl 0.0000 0.5000 0.5000
4 Cl 0.5000 0.5000 0.0000

***

# 9
## CaAcSiO4 (PBE-GGA)

Data for a geometry-optimized CaAcSiO4 structure.

Calculated values
As for the uncorrected formation energy: -2728 meV per atom. The calculation puts the density at 5.8 g cm⁻³.

Lattice parameters (Å, degrees): 6.5644 6.8207 9.2580 90.00 90.00 90.00
Space group Imma (No. 74)
One atom of each set of equivalent atoms:
1 Ca 0.2500 0.2500 0.2500
2 Ac 0.0000 0.0000 0.0000
3 Si 0.0000 0.2500 0.6239
4 O 0.0000 0.0464 0.7260
5 O 0.2058 0.2500 0.5167

***

# 10
## NaSc2Cr (PBE-GGA)

Data for a geometry-optimized NaSc2Cr structure.

Calculated values
For the energy of formation from the pure elements, the calculation gives 1.091 eV per atom. The calculation puts the density at 2.1 g cm⁻³. The energy above the lowest structure with this stoichiometry comes out at 0.665 eV/atom.

Lattice parameters (Å, degrees): 10.1044 10.1044 10.1044 90.00 90.00 90.00
Space group Fd-3m (No. 227, origin choice 2)
One atom of each set of equivalent atoms:
1 Na 0.1250 0.1250 0.1250
2 Sc 0.0000 0.0000 0.5000
3 Cr 0.1250 0.1250 0.6250

***

# 11
## Pd8Pb2Se (PBE-GGA)

Data for a geometry-optimized Pd8Pb2Se structure.

Calculated values
As for the uncorrected formation energy: -198 meV per atom. The calculation puts the density at 11.5 g cm⁻³.

Lattice parameters (Å, degrees): 15.2912 4.7039 5.8358 90.00 112.34 90.00
Space group C2/m (No. 12)
One atom of each set of equivalent atoms:
1 Pd 0.9996 0.0000 0.2405
2 Pd 0.1362 0.5000 0.3944
3 Pd 0.1377 0.5000 0.8831
4 Pd 0.1875 0.0000 0.1895
5 Pb 0.1802 0.0000 0.6806
6 Se 0.0000 0.5000 0.0000

***

# 12
## Dy4Al (PBE-GGA)

Data for a geometry-optimized Dy4Al structure.

Calculated values
For the energy of formation from the pure elements, the calculation gives 0.016 eV per atom. The calculation puts the density at 7.6 g cm⁻³. The energy above the lowest structure with this stoichiometry comes out at 0.000 eV/atom.

Lattice parameters (Å, degrees): 6.8253 17.2708 5.9570 90.00 123.16 90.00
Space group C2/c (No. 15)
One atom of each set of equivalent atoms:
1 Dy 0.1965 0.0819 0.1483
2 Dy 0.2368 0.2933 0.2427
3 Al 0.0000 0.4433 0.2500